DFT (GGA-PBE) results for a relaxed Tb3PmNd5 crystal.

Cell lengths 8.1413, 8.1413, 11.7557 Å; angles 71.80, 71.80, 89.66 degrees
Fractional positions:
Tb1 0.6193 0.6193 0.8433
Tb2 0.7933 0.7933 0.3477
Tb3 0.0000 0.0000 0.0000
Tb4 0.0000 0.0000 0.5000
Tb5 0.3807 0.3807 0.1567
Tb6 0.2067 0.2067 0.6523
Pm1 0.9087 0.9087 0.7954
Pm2 0.0913 0.0913 0.2046
Nd1 0.9728 0.4396 0.3538
Nd2 0.2569 0.7431 0.0000
Nd3 0.6929 0.6929 0.0956
Nd4 0.4718 0.4718 0.3818
Nd5 0.5282 0.5282 0.6182
Nd6 0.3071 0.3071 0.9044
Nd7 0.4396 0.9728 0.3538
Nd8 0.7431 0.2569 0.0000
Nd9 0.0272 0.5604 0.6462
Nd10 0.5604 0.0272 0.6462

Properties
Volume: 38.87 A^3/atom
DFT formation energy: 0.5469 eV per atom
ΔE to the lowest computed polymorph: 274 meV/atom
Total magnetic moment: 0.000 μB per cell